# 1
A plane-wave DFT calculation with GGA-PBE was carried out for an optimized crystal structure of BeV2B4Mo2.

Unit cell a=5.039 b=5.039 c=5.039 alpha=94.67 beta=117.34 gamma=117.34
Atoms (fractional coordinates):
Be1 0.000 0.000 0.000
V1 0.500 0.750 0.250
V2 0.500 0.250 0.750
B1 0.000 0.756 0.244
B2 0.512 0.756 0.756
B3 0.000 0.244 0.756
B4 0.488 0.244 0.244
Mo1 0.000 0.684 0.684
Mo2 0.000 0.316 0.316

Computed properties:
DFT formation energy   0.473 eV/atom
Total magnetization   0.0 Bohr magnetons per cell

***

# 2
A plane-wave DFT calculation with GGA-PBE was carried out for an optimized crystal structure of ZrTlCl2.

Unit cell a=3.324 b=5.761 c=4.716 alpha=90.00 beta=90.00 gamma=90.00
Atoms (fractional coordinates):
Tl1 0.500 0.000 0.500
Zr1 0.000 0.500 0.500
Cl1 0.000 0.000 0.000
Cl2 0.500 0.500 0.000

Computed properties:
ΔE to the lowest computed polymorph   581.3 meV/atom
E_form (uncorrected)   -496 meV per atom
Total magnetization   0.0 Bohr magnetons per cell

***

# 3
A plane-wave DFT calculation with GGA-PBE was carried out for an optimized crystal structure of LiPmY2In4.

Unit cell a=5.239 b=5.239 c=9.291 alpha=73.62 beta=73.62 gamma=60.00
Atoms (fractional coordinates):
Li1 0.500 0.500 0.500
Pm1 0.000 0.000 0.000
Y1 0.754 0.754 0.737
Y2 0.246 0.246 0.263
In1 0.378 0.378 0.866
In2 0.873 0.873 0.381
In3 0.127 0.127 0.619
In4 0.622 0.622 0.134

Computed properties:
DFT formation energy   -0.437 eV/atom
Total magnetization   0.0 Bohr magnetons per cell

***

- Number 2 is which compound?
  ZrTlCl2

***

Repeat the third record exactly.
A plane-wave DFT calculation with GGA-PBE was carried out for an optimized crystal structure of LiPmY2In4.

Unit cell a=5.239 b=5.239 c=9.291 alpha=73.62 beta=73.62 gamma=60.00
Atoms (fractional coordinates):
Li1 0.500 0.500 0.500
Pm1 0.000 0.000 0.000
Y1 0.754 0.754 0.737
Y2 0.246 0.246 0.263
In1 0.378 0.378 0.866
In2 0.873 0.873 0.381
In3 0.127 0.127 0.619
In4 0.622 0.622 0.134

Computed properties:
DFT formation energy   -0.437 eV/atom
Total magnetization   0.0 Bohr magnetons per cell

***

- total magnetization of number 3 (LiPmY2In4)?
  0.0 Bohr magnetons per cell